[1]
# ScAlMo2 | Alexandria | PBE-GGA | optimized geometry
# Spin magnetization, μB/f.u.: 0.00
# DOS at the Fermi energy, states/eV per cell: 2.5
# Space group: No. 65
# Uncorrected energy, Ha/atom: -0.290
# Energy of formation, meV per atom: 53
# V, Å³/cell: 67
# Crystal system: orthorhombic
data_ScAlMo2
_chemical_formula_sum 'Sc1 Al1 Mo2'
_cell_length_a 5.232
_cell_length_b 5.232
_cell_length_c 2.737
_cell_angle_alpha 90.00
_cell_angle_beta 90.00
_cell_angle_gamma 116.29
_space_group_name_H-M_alt 'P 1'
_space_group_IT_number 1
loop_
_space_group_symop_operation_xyz
'x,y,z'
loop_
_atom_site_label
_atom_site_fract_x
_atom_site_fract_y
_atom_site_fract_z
_atom_site_occupancy
Sc1 0.000 0.000 0.000 1
Al1 0.500 0.500 0.000 1
Mo1 0.000 0.500 0.500 1
Mo2 0.500 0.000 0.500 1

[2]
# ScAl2Mo | Alexandria | PBE-GGA | optimized geometry
# Spin magnetization, μB/f.u.: 0.00
# DOS at the Fermi energy, states/eV per cell: 1.0
# Excess energy over the best structure of this formula in the dataset, meV per atom: 0
# Space group: No. 71
# Uncorrected energy, Ha/atom: -0.238
# Energy of formation, meV per atom: -324
# V, Å³/cell: 67
# Crystal system: orthorhombic
data_ScAl2Mo
_chemical_formula_sum 'Sc1 Al2 Mo1'
_cell_length_a 4.994
_cell_length_b 4.994
_cell_length_c 4.994
_cell_angle_alpha 134.52
_cell_angle_beta 129.53
_cell_angle_gamma 70.27
_space_group_name_H-M_alt 'P 1'
_space_group_IT_number 1
loop_
_space_group_symop_operation_xyz
'x,y,z'
loop_
_atom_site_label
_atom_site_fract_x
_atom_site_fract_y
_atom_site_fract_z
_atom_site_occupancy
Sc1 0.000 0.000 0.000 1
Al1 0.255 0.755 0.500 1
Al2 0.745 0.245 0.500 1
Mo1 0.500 0.500 0.000 1

[3]
# ScAlMo2 | Alexandria | PBE-GGA | optimized geometry
# Spin magnetization, μB/f.u.: 0.00
# DOS at the Fermi energy, states/eV per cell: 3.0
# Space group: No. 99
# Uncorrected energy, Ha/atom: -0.289
# Energy of formation, meV per atom: 66
# V, Å³/cell: 68
# Crystal system: tetragonal
data_ScAlMo2
_chemical_formula_sum 'Sc1 Al1 Mo2'
_cell_length_a 2.749
_cell_length_b 2.749
_cell_length_c 9.003
_cell_angle_alpha 90.00
_cell_angle_beta 90.00
_cell_angle_gamma 90.00
_space_group_name_H-M_alt 'P 1'
_space_group_IT_number 1
loop_
_space_group_symop_operation_xyz
'x,y,z'
loop_
_atom_site_label
_atom_site_fract_x
_atom_site_fract_y
_atom_site_fract_z
_atom_site_occupancy
Sc1 0.000 0.000 0.000 1
Al1 0.500 0.500 0.265 1
Mo1 0.000 0.000 0.488 1
Mo2 0.500 0.500 0.745 1

Look up the spin magnetization of the third one.
0.00 μB/f.u.

Which formula does entry 2 have?
ScAl2Mo